Record 1
A relaxed structure of AlPdI3. Source: the Alexandria database, functional GGA-PBE.

```
AlPdI3
1.0
-1.8152 -0.6117 -5.2253
-4.1895 -3.1753 1.8271
-3.1821 4.5295 0.5752
I Al Pd
3 1 1
direct
0.0000 0.5000 0.0000
0.0000 0.0000 0.5000
0.5000 0.0000 0.0000
0.0000 0.0000 0.0000
0.5000 0.5000 0.5000
```

Summary:
The relative energy among the computed polymorphs is 241 meV per atom. Its space group is Pm-3m. Its formation energy from raw total energies is 0.269 eV/atom.

***

Record 2
A relaxed structure of AlPd3I. Source: the Alexandria database, functional GGA-PBE.

```
AlPd3I
1.0
4.6975 0.0000 0.0000
0.0000 4.6975 0.0000
0.0000 0.0000 4.6975
I Pd Al
1 3 1
direct
0.5000 0.5000 0.5000
0.0000 0.5000 0.0000
0.5000 0.0000 0.0000
0.0000 0.0000 0.5000
0.0000 0.0000 0.0000
```

Summary:
The relative energy among the computed polymorphs is 0 meV per atom. Its space group is Pm-3m. Its formation energy from raw total energies is 0.111 eV/atom.

***

Record 3
A relaxed structure of AlPdI2. Source: the Alexandria database, functional GGA-PBE.

```
AlPdI2
1.0
5.8881 0.0000 0.0000
0.0000 5.8881 0.0000
2.9441 2.9441 7.4997
I Pd Al
4 2 2
direct
0.8750 0.8840 0.7500
0.1160 0.6250 0.2500
0.3750 0.3660 0.7500
0.6340 0.1250 0.2500
0.0000 0.0000 0.0000
0.7500 0.2500 0.5000
0.2500 0.7500 0.5000
0.5000 0.5000 0.0000
```

Summary:
The relative energy among the computed polymorphs is 0 meV per atom. Its space group is I-42d. Its formation energy from raw total energies is 0.112 eV/atom.

***

Record 4
A relaxed structure of AlPd3I. Source: the Alexandria database, functional GGA-PBE.

```
AlPd3I
1.0
5.0262 0.0000 0.0000
0.0000 5.0262 0.0000
0.0000 0.0000 5.0262
Pd Al I
3 1 1
direct
0.5000 0.0000 0.0000
0.0000 0.0000 0.5000
0.0000 0.5000 0.0000
0.5000 0.5000 0.5000
0.0000 0.0000 0.0000
```

Summary:
The relative energy among the computed polymorphs is 486 meV per atom. Its space group is Pm-3m. Its formation energy from raw total energies is 0.597 eV/atom.

***

Record 5
A relaxed structure of AlPd2I. Source: the Alexandria database, functional GGA-PBE.

```
AlPd2I
1.0
4.8980 0.0000 0.0000
0.0000 4.8980 0.0000
2.4490 2.4490 7.7100
Pd I Al
4 2 2
direct
0.1920 0.6250 0.2500
0.5580 0.1250 0.2500
0.8750 0.8080 0.7500
0.3750 0.4420 0.7500
0.0000 0.0000 0.0000
0.7500 0.2500 0.5000
0.2500 0.7500 0.5000
0.5000 0.5000 0.0000
```

Summary:
The relative energy among the computed polymorphs is 0 meV per atom. Its space group is I-42d. Its formation energy from raw total energies is -0.078 eV/atom.

***

Record 6
A relaxed structure of Rb2AlPdI6. Source: the Alexandria database, functional GGA-PBE.

```
Rb2AlPdI6
1.0
8.0626 0.0000 0.0000
0.0000 8.0626 0.0000
4.0313 4.0313 5.8423
I Pd Rb Al
6 1 2 1
direct
0.2454 0.7546 0.0000
0.2656 0.2656 0.4689
0.7546 0.2454 0.0000
0.7546 0.7546 0.0000
0.2454 0.2454 0.0000
0.7344 0.7344 0.5311
0.0000 0.0000 0.0000
0.2500 0.7500 0.5000
0.7500 0.2500 0.5000
0.5000 0.5000 0.0000
```

Summary:
Its space group is I4/mmm. Its formation energy from raw total energies is -0.769 eV/atom.

***

| no. | raw total energy (eV/atom) |
| --- | --- |
| 1 | -2.448 |
| 2 | -4.063 |
| 3 | -2.897 |
| 4 | -3.578 |
| 5 | -3.998 |
| 6 | -2.787 |